Below is a relaxed structure of Dy3Mg2Rh3, with properties calculated at the PBE-GGA level.

The calculated total energy comes out at -44.48 eV/f.u. As for the crystal system: hexagonal. Its magnetic moment is 0.00 Bohr magnetons per cell.

The structure belongs to space group P6_3/mcm (No. 193); the cell edges are 8.1853, 8.1853 and 5.7715 Å and the angles 90.00°, 90.00° and 120.00°. The asymmetric unit holds Dy at (0.0000, 0.2705, 0.2500), Mg at (0.3333, 0.6667, 0.0000) and Rh at (0.0000, 0.3893, 0.7500).